Run A
ErMgBi2: optimized geometry, GGA-PBE.

Summary:
Its space group is No. 160.

Cell lengths 7.3753, 7.3753, 7.3753 Å; angles 35.92, 35.92, 35.92 degrees
Closest atoms and distances in Å follow each position.
Element x y z (fractional)
Er  0.0000  0.0000  0.0000  6 Bi 3.14-3.15
Mg  0.8298  0.8298  0.8298  6 Bi 3.11-3.18
Bi  0.4162  0.4162  0.4162  3 Mg 3.11, 3 Er 3.14, 1 Bi 3.44
Bi  0.5828  0.5828  0.5828  3 Er 3.15, 3 Mg 3.18, 1 Bi 3.44



Run B
ErMgBi2: optimized geometry, GGA-PBE.

Summary:
Its space group is No. 123.

Cell lengths 5.1329, 5.1329, 4.1840 Å; angles 90.00, 90.00, 90.00 degrees
Closest atoms and distances in Å follow each position.
Element x y z (fractional)
Er  0.0000  0.0000  0.0000  8 Bi 3.31, 4 Mg 3.63
Mg  0.5000  0.5000  0.0000  8 Bi 3.31, 4 Er 3.63
Bi  0.0000  0.5000  0.5000  4 Mg 3.31, 4 Er 3.31, 4 Bi 3.63
Bi  0.5000  0.0000  0.5000  4 Mg 3.31, 4 Er 3.31, 4 Bi 3.63



Most stable = run B



Run A
ErMgBi2: optimized geometry, GGA-PBE.

Summary:
Its space group is No. 11.

Cell lengths 6.2093, 6.0876, 6.3092 Å; angles 90.00, 93.72, 90.00 degrees
Closest atoms and distances in Å follow each position.
Element x y z (fractional)
Er  0.0431  0.2500  0.2753  6 Bi 3.10-3.21
Er  0.9569  0.7500  0.7247  6 Bi 3.10-3.21
Mg  0.4436  0.7500  0.3371  6 Bi 3.08-3.27
Mg  0.5564  0.2500  0.6629  6 Bi 3.08-3.27
Bi  0.0535  0.2500  0.7680  4 Er 3.10-3.21, 2 Mg 3.11-3.23
Bi  0.4704  0.7500  0.8266  4 Mg 3.08-3.27, 2 Er 3.13-3.21
Bi  0.5296  0.2500  0.1734  4 Mg 3.08-3.27, 2 Er 3.13-3.21
Bi  0.9465  0.7500  0.2320  4 Er 3.10-3.21, 2 Mg 3.11-3.23



Run B
ErMgBi2: optimized geometry, GGA-PBE.

Summary:
Its space group is No. 166.

Cell lengths 7.5933, 7.5933, 7.5933 Å; angles 33.87, 33.87, 33.87 degrees
Closest atoms and distances in Å follow each position.
Element x y z (fractional)
Er  0.0000  0.0000  0.0000  6 Bi 3.16
Mg  0.5000  0.5000  0.5000  6 Bi 3.08
Bi  0.2469  0.2469  0.2469  3 Mg 3.08, 3 Er 3.16
Bi  0.7531  0.7531  0.7531  3 Mg 3.08, 3 Er 3.16



Most stable = run A



Run A
ErMg2Bi: optimized geometry, GGA-PBE.

Summary:
Its space group is No. 166.

Cell lengths 11.8172, 11.8172, 11.8172 Å; angles 16.41, 16.41, 16.41 degrees
Closest atoms and distances in Å follow each position.
Element x y z (fractional)
Er  0.0000  0.0000  0.0000  2 Mg 3.16, 6 Er 3.37
Mg  0.0905  0.0905  0.0905  1 Er 3.16, 3 Bi 3.30, 6 Mg 3.37
Mg  0.9095  0.9095  0.9095  1 Er 3.16, 3 Bi 3.30, 6 Mg 3.37
Bi  0.5000  0.5000  0.5000  6 Mg 3.30, 6 Bi 3.37



Run B
ErMg2Bi: optimized geometry, GGA-PBE.

Summary:
Its space group is No. 123.

Cell lengths 4.5539, 4.5539, 4.9499 Å; angles 90.00, 90.00, 90.00 degrees
Closest atoms and distances in Å follow each position.
Element x y z (fractional)
Er  0.0000  0.0000  0.0000  4 Bi 3.22, 8 Mg 3.36
Mg  0.0000  0.5000  0.5000  4 Mg 3.22, 4 Bi 3.36, 4 Er 3.36
Mg  0.5000  0.0000  0.5000  4 Mg 3.22, 4 Bi 3.36, 4 Er 3.36
Bi  0.5000  0.5000  0.0000  4 Er 3.22, 8 Mg 3.36



Most stable = run B



Run A
NaErBi2: optimized geometry, GGA-PBE.

Summary:
Its space group is No. 160.

Cell lengths 6.9899, 6.9899, 6.9899 Å; angles 40.65, 40.65, 40.65 degrees
Closest atoms and distances in Å follow each position.
Element x y z (fractional)
Na  0.0000  0.0000  0.0000  6 Bi 3.16-3.36, 1 Er 3.46
Er  0.1800  0.1800  0.1800  6 Bi 3.18-3.23, 1 Na 3.46
Bi  0.5912  0.5912  0.5912  3 Na 3.16, 3 Er 3.18, 1 Bi 3.30
Bi  0.7627  0.7627  0.7627  3 Er 3.23, 1 Bi 3.30, 3 Na 3.36



Run B
NaErBi2: optimized geometry, GGA-PBE.

Summary:
Its space group is No. 123.

Cell lengths 5.1780, 5.1780, 4.2661 Å; angles 90.00, 90.00, 90.00 degrees
Closest atoms and distances in Å follow each position.
Element x y z (fractional)
Na  0.0000  0.0000  0.0000  8 Bi 3.35, 4 Er 3.66
Er  0.5000  0.5000  0.0000  8 Bi 3.35, 4 Na 3.66
Bi  0.0000  0.5000  0.5000  4 Na 3.35, 4 Er 3.35, 4 Bi 3.66
Bi  0.5000  0.0000  0.5000  4 Na 3.35, 4 Er 3.35, 4 Bi 3.66



Most stable = run B